VASP calculation (PBE-GGA) on a relaxed structure of DyHo2Ge.

a = 3.624 Å, b = 3.624 Å, c = 10.202 Å
α = 79.77°, β = 79.77°, γ = 60.00°
Fractional coordinates of all 4 atoms:
1 Ge 0.000 0.000 0.000
2 Ho 0.265 0.265 0.204
3 Ho 0.735 0.735 0.796
4 Dy 0.500 0.500 0.500

=====

VASP calculation (PBE-GGA) on a relaxed structure of DyHoGe.

relative energy among the computed polymorphs	94	meV per atom

a = 4.867 Å, b = 4.867 Å, c = 4.867 Å
α = 60.00°, β = 60.00°, γ = 60.00°
Fractional coordinates of all 3 atoms:
1 Ge 0.250 0.250 0.250
2 Ho 0.500 0.500 0.500
3 Dy 0.000 0.000 0.000

=====

VASP calculation (PBE-GGA) on a relaxed structure of DyHo2Ge2.

a = 4.381 Å, b = 6.506 Å, c = 9.561 Å
α = 77.82°, β = 76.76°, γ = 70.33°
Fractional coordinates of all 10 atoms:
1 Dy 0.784 0.078 0.354
2 Dy 0.216 0.922 0.646
3 Ho 0.315 0.285 0.084
4 Ho 0.483 0.348 0.685
5 Ho 0.685 0.715 0.916
6 Ho 0.517 0.652 0.315
7 Ge 0.965 0.175 0.894
8 Ge 0.119 0.328 0.434
9 Ge 0.035 0.825 0.106
10 Ge 0.881 0.672 0.566

=====

VASP calculation (PBE-GGA) on a relaxed structure of DyHoGe.

relative energy among the computed polymorphs	0	meV per atom

a = 4.196 Å, b = 7.916 Å, c = 7.916 Å
α = 120.00°, β = 90.00°, γ = 90.00°
Each line ends with the local moment (μB).
Fractional coordinates of all 9 atoms:
1 Ge 0.500 0.667 0.333  0.00
2 Ge 0.500 0.333 0.667  0.00
3 Ge 0.000 0.000 0.000  -0.01
4 Ho 0.500 0.264 0.000  0.26
5 Ho 0.500 0.000 0.264  0.26
6 Ho 0.500 0.736 0.736  0.26
7 Dy 0.000 0.596 0.000  0.23
8 Dy 0.000 0.000 0.596  0.23
9 Dy 0.000 0.404 0.404  0.23

=====

VASP calculation (PBE-GGA) on a relaxed structure of Dy2Ho5Ge4.

a = 3.454 Å, b = 6.892 Å, c = 12.796 Å
α = 88.88°, β = 97.76°, γ = 90.00°
Fractional coordinates of all 11 atoms:
1 Dy 0.907 0.697 0.815
2 Dy 0.093 0.303 0.185
3 Ho 0.132 0.807 0.265
4 Ho 0.868 0.193 0.735
5 Ho 0.236 0.240 0.472
6 Ho 0.500 0.000 0.000
7 Ho 0.764 0.760 0.528
8 Ge 0.674 0.499 0.348
9 Ge 0.025 0.659 0.050
10 Ge 0.326 0.501 0.652
11 Ge 0.975 0.341 0.950

=====

VASP calculation (PBE-GGA) on a relaxed structure of Dy4HoGe4.

a = 5.828 Å, b = 9.085 Å, c = 9.085 Å
α = 90.00°, β = 90.00°, γ = 90.00°
Fractional coordinates of all 18 atoms:
1 Dy 0.385 0.325 0.908
2 Dy 0.885 0.592 0.825
3 Dy 0.385 0.675 0.092
4 Dy 0.115 0.175 0.592
5 Dy 0.615 0.908 0.675
6 Dy 0.115 0.825 0.408
7 Dy 0.885 0.408 0.175
8 Dy 0.615 0.092 0.325
9 Ho 0.000 0.000 0.000
10 Ho 0.500 0.500 0.500
11 Ge 0.616 0.774 0.371
12 Ge 0.616 0.226 0.629
13 Ge 0.116 0.871 0.726
14 Ge 0.884 0.274 0.871
15 Ge 0.884 0.726 0.129
16 Ge 0.384 0.371 0.226
17 Ge 0.384 0.629 0.774
18 Ge 0.116 0.129 0.274

=====

VASP calculation (PBE-GGA) on a relaxed structure of DyHoGe.

relative energy among the computed polymorphs	187	meV per atom

a = 3.444 Å, b = 3.444 Å, c = 6.982 Å
α = 104.28°, β = 104.28°, γ = 90.00°
Fractional coordinates of all 3 atoms:
1 Ge 0.283 0.283 0.566
2 Ho 0.642 0.642 0.284
3 Dy 0.925 0.925 0.850

=====

VASP calculation (PBE-GGA) on a relaxed structure of Dy2HoGe.

a = 3.639 Å, b = 3.639 Å, c = 10.212 Å
α = 79.74°, β = 79.74°, γ = 60.00°
Fractional coordinates of all 4 atoms:
1 Ge 0.000 0.000 0.000
2 Ho 0.500 0.500 0.500
3 Dy 0.265 0.265 0.204
4 Dy 0.735 0.735 0.796

=====

VASP calculation (PBE-GGA) on a relaxed structure of Dy2HoGe2.

relative energy among the computed polymorphs	104	meV per atom

a = 4.369 Å, b = 6.494 Å, c = 9.651 Å
α = 77.87°, β = 76.92°, γ = 70.34°
Fractional coordinates of all 10 atoms:
1 Dy 0.318 0.279 0.086
2 Dy 0.483 0.348 0.686
3 Dy 0.682 0.721 0.914
4 Dy 0.517 0.652 0.314
5 Ho 0.783 0.078 0.357
6 Ho 0.217 0.922 0.643
7 Ge 0.970 0.168 0.893
8 Ge 0.119 0.328 0.435
9 Ge 0.030 0.832 0.107
10 Ge 0.881 0.672 0.565

=====

VASP calculation (PBE-GGA) on a relaxed structure of Dy2HoGe2.

relative energy among the computed polymorphs	0	meV per atom

a = 4.240 Å, b = 7.572 Å, c = 7.572 Å
α = 90.00°, β = 90.00°, γ = 90.00°
Fractional coordinates of all 10 atoms:
1 Dy 0.000 0.673 0.327
2 Dy 0.000 0.827 0.827
3 Dy 0.000 0.173 0.173
4 Dy 0.000 0.327 0.673
5 Ho 0.500 0.500 0.000
6 Ho 0.500 0.000 0.500
7 Ge 0.500 0.375 0.375
8 Ge 0.500 0.875 0.125
9 Ge 0.500 0.125 0.875
10 Ge 0.500 0.625 0.625

=====

VASP calculation (PBE-GGA) on a relaxed structure of Dy5Ho2Ge4.

a = 3.463 Å, b = 6.911 Å, c = 12.815 Å
α = 89.34°, β = 97.77°, γ = 90.00°
Fractional coordinates of all 11 atoms:
1 Dy 0.133 0.809 0.265
2 Dy 0.867 0.191 0.735
3 Dy 0.235 0.241 0.471
4 Dy 0.500 0.000 0.000
5 Dy 0.765 0.759 0.529
6 Ho 0.908 0.693 0.816
7 Ho 0.092 0.307 0.184
8 Ge 0.674 0.501 0.347
9 Ge 0.025 0.659 0.050
10 Ge 0.326 0.499 0.653
11 Ge 0.975 0.341 0.950

=====

VASP calculation (PBE-GGA) on a relaxed structure of LiDyHoGe.

a = 4.999 Å, b = 4.999 Å, c = 4.999 Å
α = 60.00°, β = 60.00°, γ = 60.00°
Fractional coordinates of all 4 atoms:
1 Ge 0.000 0.000 0.000
2 Li 0.500 0.500 0.500
3 Ho 0.250 0.250 0.250
4 Dy 0.750 0.750 0.750

=====

Number 1: volume 113.6 Å³ per cell, E -19.25 eV per cell. Number 2: volume 81.5 Å³ per cell, E -15.40 eV per cell. Number 3: volume 247.1 Å³ per cell, E -52.60 eV per cell. Number 4: volume 227.8 Å³ per cell, E -47.03 eV per cell. Number 5: volume 301.7 Å³ per cell, E -54.42 eV per cell. Number 6: volume 481.0 Å³ per cell, E -93.40 eV per cell. Number 7: volume 77.6 Å³ per cell, E -15.12 eV per cell. Number 8: volume 114.6 Å³ per cell, E -19.25 eV per cell. Number 9: volume 248.5 Å³ per cell, E -52.83 eV per cell. Number 10: volume 243.1 Å³ per cell, E -53.86 eV per cell. Number 11: volume 303.8 Å³ per cell, E -54.49 eV per cell. Number 12: volume 88.3 Å³ per cell, E -17.34 eV per cell.